{"formula": "Rb2DyWO6", "functional": "PBE with a Hubbard U", "state": "relaxed", "lattice": [[6.604, 0.000, 0.000], [-3.302, 5.719, 0.000], [0.000, 0.000, 5.901]], "species": ["Rb", "Rb", "Dy", "W", "O", "O", "O", "O", "O", "O"], "fractional_positions": [[0.333, 0.667, 0.400], [0.667, 0.333, 0.600], [0.000, 0.000, 0.000], [0.000, 0.000, 0.500], [0.134, 0.267, 0.708], [0.134, 0.866, 0.708], [0.267, 0.134, 0.292], [0.733, 0.866, 0.708], [0.866, 0.134, 0.292], [0.866, 0.733, 0.292]], "sg": "P-3m1 (164)", "n_ef_per_ev_fu": 1.73, "total_energy_ev_per_cell": -64.19}